Material: CeHoSb2
Method: DFT, GGA-PBE
State: relaxed

Results
Relative energy among the computed polymorphs in kJ/mol of formula units: 47.9
Formation energy (no corrections) in eV/atom: -0.96
DFT total energy in Ha/atom: -0.20745

Structure (CIF):
```
data_CeHoSb2
_space_group_name_H-M_alt 'R 3 m'
_space_group_IT_number 160
_space_group_name_Hall 'R 3 -2"'
_cell_length_a 4.4059
_cell_length_b 4.4059
_cell_length_c 22.5157
_cell_angle_alpha 90.00
_cell_angle_beta 90.00
_cell_angle_gamma 120.00
loop_
_atom_site_label
_atom_site_fract_x
_atom_site_fract_y
_atom_site_fract_z
Ce1 0.0000 0.0000 0.0000
Ho1 0.0000 0.0000 0.8283
Sb1 0.0000 0.0000 0.4152
Sb2 0.0000 0.0000 0.5797
```